# MgRu2W

Crystalline MgRu2W at its relaxed geometry (PBE-GGA, Alexandria).

Properties
Spin magnetization = 0.00 Bohr magnetons per cell
VASP energy = -33.60 eV/cell
Space-group type = P4/mmm (123)

extended XYZ file:
```
4
Lattice="-2.604 1.466 -0.836 -1.390 -0.989 2.593 1.947 5.181 3.019" Properties=species:S:1:pos:R:3 pbc="T T T"
W -1.510 1.534 1.633
Ru 0.948 2.522 1.470
Ru 0.026 0.068 0.040
Mg -0.537 4.124 3.143
```